# 1
The following is a PBE calculation of a relaxed structure of LaPmNiSn, from Alexandria via LeMat-Bulk.

Calculated values
Total energy = -5.25 eV/atom
Spin magnetization = 0.000 μB per atom

Geometry as POSCAR:
```
LaPmNiSn
1.0
5.313 0.000 0.000
2.656 4.601 0.000
2.656 1.534 4.338
Ni La Sn Pm
1 1 1 1
Direct
0.750 0.750 0.750 Ni
0.000 0.000 0.000 La
0.250 0.250 0.250 Sn
0.500 0.500 0.500 Pm
```

# 2
The following is a PBE calculation of a relaxed structure of La3PmTlNi, from Alexandria via LeMat-Bulk.

Calculated values
Total energy = -4.86 eV/atom
Spin magnetization = 0.000 μB per atom

Geometry as POSCAR:
```
La3PmTlNi
1.0
8.730 1.038 -3.012
5.008 7.226 -3.012
-0.091 -0.055 6.334
La Pm Tl Ni
6 2 2 2
Direct
0.194 0.194 0.691 La
0.135 0.629 0.884 La
0.629 0.135 0.884 La
0.371 0.865 0.116 La
0.865 0.371 0.116 La
0.806 0.806 0.309 La
0.262 0.738 0.500 Pm
0.738 0.262 0.500 Pm
0.692 0.692 0.692 Tl
0.308 0.308 0.308 Tl
0.000 0.000 0.804 Ni
0.000 0.000 0.196 Ni
```

# 3
The following is a PBE calculation of a relaxed structure of La5Pr2Ni2, from Alexandria via LeMat-Bulk.

Calculated values
Total energy = -5.16 eV/atom
Spin magnetization = 0.000 μB per atom

Geometry as POSCAR:
```
La5Pr2Ni2
1.0
7.508 0.000 2.725
0.000 7.215 0.000
0.456 0.000 10.448
La Pr Ni
10 4 4
Direct
0.000 0.000 0.000 La
0.500 0.500 0.000 La
0.424 0.159 0.789 La
0.787 0.841 0.789 La
0.287 0.659 0.789 La
0.924 0.341 0.789 La
0.576 0.841 0.211 La
0.213 0.159 0.211 La
0.713 0.341 0.211 La
0.076 0.659 0.211 La
0.230 0.000 0.540 Pr
0.730 0.500 0.540 Pr
0.770 0.000 0.460 Pr
0.270 0.500 0.460 Pr
0.114 0.372 0.000 Ni
0.886 0.628 0.000 Ni
0.386 0.872 0.000 Ni
0.614 0.128 0.000 Ni
```

# 4
The following is a PBE calculation of a relaxed structure of LaPr3Ni2, from Alexandria via LeMat-Bulk.

Calculated values
Total energy = -5.34 eV/atom
Spin magnetization = 0.000 μB per atom

Geometry as POSCAR:
```
LaPr3Ni2
1.0
-1.255 0.507 -3.758
-8.293 -2.658 0.288
-4.923 8.968 0.731
La Pr Ni
2 6 4
Direct
0.843 0.558 0.755 La
0.157 0.442 0.245 La
0.154 0.942 0.750 Pr
0.846 0.058 0.250 Pr
0.419 0.219 0.943 Pr
0.581 0.781 0.057 Pr
0.584 0.275 0.557 Pr
0.416 0.725 0.443 Pr
0.233 0.585 0.948 Ni
0.767 0.415 0.052 Ni
0.767 0.918 0.548 Ni
0.233 0.082 0.452 Ni
```

# 5
The following is a PBE calculation of a relaxed structure of LaPr2Ni6, from Alexandria via LeMat-Bulk.

Calculated values
Total energy = -5.77 eV/atom
Spin magnetization = 0.082 μB per atom

Geometry as POSCAR:
```
LaPr2Ni6
1.0
4.032 0.000 0.000
0.000 6.077 -3.509
0.000 0.000 7.017
La Pr Ni
1 2 6
Direct
0.000 0.000 0.000 La
0.000 0.333 0.667 Pr
0.000 0.667 0.333 Pr
0.500 0.334 0.334 Ni
0.500 0.666 0.666 Ni
0.500 0.000 0.666 Ni
0.500 0.666 0.000 Ni
0.500 0.334 0.000 Ni
0.500 0.000 0.334 Ni
```

# 6
The following is a PBE calculation of a relaxed structure of LaPrNi, from Alexandria via LeMat-Bulk.

Calculated values
Total energy = -5.29 eV/atom
Spin magnetization = 0.000 μB per atom
E above lowest polymorph = 91 meV/atom

Geometry as POSCAR:
```
LaPrNi
1.0
3.570 0.000 0.000
0.000 3.570 0.000
-1.785 -1.785 6.556
Pr Ni La
1 1 1
Direct
0.294 0.294 0.587 Pr
0.666 0.666 0.331 Ni
0.041 0.041 0.081 La
```

# 7
The following is a PBE calculation of a relaxed structure of La3Pr3Ni4, from Alexandria via LeMat-Bulk.

Calculated values
Total energy = -5.44 eV/atom
Spin magnetization = 0.000 μB per atom

Geometry as POSCAR:
```
La3Pr3Ni4
1.0
3.962 0.000 0.000
0.000 7.918 -0.088
0.000 -0.019 7.919
La Pr Ni
3 3 4
Direct
0.500 0.838 0.162 La
0.500 0.334 0.335 La
0.500 0.665 0.666 La
0.000 0.498 0.001 Pr
0.000 0.999 0.502 Pr
0.500 0.167 0.833 Pr
0.000 0.618 0.382 Ni
0.000 0.382 0.618 Ni
0.000 0.881 0.882 Ni
0.000 0.118 0.119 Ni
```

# 8
The following is a PBE calculation of a relaxed structure of LaPrNi, from Alexandria via LeMat-Bulk.

Calculated values
Total energy = -5.28 eV/atom
Spin magnetization = 0.000 μB per atom
E above lowest polymorph = 96 meV/atom

Geometry as POSCAR:
```
LaPrNi
1.0
3.998 0.000 0.000
-1.999 3.463 0.000
0.000 0.000 6.598
Pr Ni La
1 1 1
Direct
0.000 0.000 0.085 Pr
0.667 0.333 0.336 Ni
0.333 0.667 0.579 La
```

| no. | ΔH_f (0 K) (kJ/mol of formula units) |
| --- | --- |
| 1 | -148 |
| 2 | -141 |
| 3 | -69 |
| 4 | -115 |
| 5 | -264 |
| 6 | -36 |
| 7 | -207 |
| 8 | -35 |